(1)
A relaxed Li4Mn3Fe2Cu3O16 crystal. Source: Alexandria via LeMat-Bulk, functional PBE+U.

Lattice parameters (Å, degrees): 5.854 5.826 9.492 90.00 89.17 119.84
Last column: magnetic moment on the atom in μB.
Element x y z (fractional)
Mn: 0.830 0.169 0.715  3.22
Mn: 0.830 0.661 0.715  3.22
Mn: 0.657 0.829 0.215  3.20
O: 0.679 0.340 0.608  -0.22
O: 0.156 0.326 0.600  -0.09
O: 0.991 0.996 0.306  -0.23
O: 0.824 0.671 0.099  -0.09
O: 0.680 0.840 0.604  -0.02
O: 0.491 0.526 0.340  -0.12
O: 0.990 0.995 0.810  -0.19
O: 0.156 0.830 0.600  -0.09
O: 0.527 0.489 0.838  -0.14
O: 0.965 0.482 0.833  -0.04
O: 0.527 0.037 0.838  -0.14
O: 0.323 0.162 0.099  -0.10
O: 0.491 0.965 0.340  -0.12
O: 0.824 0.154 0.099  -0.09
O: 0.040 0.520 0.339  -0.13
O: 0.340 0.670 0.109  -0.27
Cu: 0.168 0.338 0.214  -0.61
Cu: 0.168 0.830 0.214  -0.61
Cu: 0.338 0.169 0.714  -0.77
Li: 0.333 0.667 0.891  0.00
Li: 0.002 0.001 0.999  0.01
Li: 0.669 0.334 0.389  0.00
Li: 0.010 0.005 0.495  0.01
Fe: 0.331 0.665 0.491  4.30
Fe: 0.661 0.330 0.994  4.27

Output
- VASP energy: -6.012 eV/atom
- Magnetic moment: 14.1 Bohr magnetons per cell


(2)
A relaxed Li4Mn3Fe3Cu2O16 crystal. Source: Alexandria via LeMat-Bulk, functional PBE+U.

Lattice parameters (Å, degrees): 5.941 5.670 9.646 90.53 88.44 119.41
Last column: magnetic moment on the atom in μB.
Element x y z (fractional)
Fe: 0.107 0.311 0.213  2.45
Fe: 0.393 0.190 0.713  3.05
Fe: 0.113 0.806 0.212  2.97
O: 0.255 0.136 0.109  -0.09
O: 0.778 0.646 0.098  -0.08
O: 0.589 0.062 0.846  0.04
O: 0.976 0.487 0.322  -0.09
O: 0.791 0.141 0.104  -0.10
O: 0.442 0.937 0.345  -0.01
O: 0.423 0.488 0.338  -0.08
O: 0.576 0.507 0.840  -0.08
O: 0.031 0.520 0.822  -0.07
O: 0.928 0.967 0.310  -0.14
O: 0.722 0.356 0.611  -0.13
O: 0.741 0.867 0.616  -0.02
O: 0.298 0.647 0.109  -0.14
O: 0.202 0.352 0.596  -0.04
O: 0.060 0.033 0.810  -0.12
O: 0.203 0.860 0.597  -0.08
Mn: 0.606 0.801 0.215  3.24
Mn: 0.888 0.690 0.716  3.17
Mn: 0.891 0.199 0.716  3.17
Cu: 0.325 0.664 0.484  0.06
Cu: 0.665 0.333 0.986  0.07
Li: 0.953 0.980 0.991  0.01
Li: 0.369 0.679 0.901  0.01
Li: 0.636 0.318 0.402  0.01
Li: 0.039 0.023 0.488  0.01

Output
- VASP energy: -6.067 eV/atom
- Magnetic moment: 17.0 Bohr magnetons per cell